Record 1
Below is a relaxed AlFeAg4 crystal, with properties calculated at the PBE level.

Geometry as POSCAR:
```
AlFeAg4
1.0
0.0000 3.8144 3.8144
3.8144 0.0000 3.8144
3.8144 3.8144 0.0000
Al Fe Ag
1 1 4
direct
0.0000 0.0000 0.0000
0.7500 0.7500 0.7500
0.3751 0.3751 0.3751
0.3751 0.3751 0.8747
0.3751 0.8747 0.3751
0.8747 0.3751 0.3751
```

Computed properties:
Symmetry ... No. 216
Calculated formation energy ... 10.925 kcal/mol of atoms
VASP energy ... -3.461 eV per atom
Magnetic moment ... 3.5 μB/f.u.

***

Record 2
Below is a relaxed TbPrTeAu crystal, with properties calculated at the PBE level.

Geometry as POSCAR:
```
TbPrTeAu
1.0
2.1288 1.2291 7.6005
-2.1288 1.2291 7.6005
0.0000 -2.4581 7.6005
Tb Pr Te Au
1 1 1 1
direct
0.0000 0.0000 0.0000
0.5119 0.5119 0.5119
0.7527 0.7527 0.7527
0.2600 0.2600 0.2600
```

Computed properties:
Symmetry ... No. 160
ΔE_f (raw) ... -1.05 eV per atom
VASP energy ... -5.009 eV per atom
Magnetic moment ... 0.0 μB/f.u.

***

Record 3
Below is a relaxed Pm5Dy4Tm2 crystal, with properties calculated at the PBE level.

Geometry as POSCAR:
```
Pm5Dy4Tm2
1.0
5.8769 -3.5403 0.0000
5.8769 3.5403 0.0000
-2.0906 0.0000 8.7862
Pm Dy Tm
5 4 2
direct
0.0000 0.0000 0.0000
0.2241 0.6668 0.6801
0.3332 0.7759 0.3199
0.6668 0.2241 0.6801
0.7759 0.3332 0.3199
0.2921 0.2921 0.3463
0.3432 0.3432 0.9989
0.6568 0.6568 0.0011
0.7079 0.7079 0.6537
0.1680 0.1680 0.6489
0.8320 0.8320 0.3511
```

Computed properties:
Symmetry ... No. 12
Energy above the most stable polymorph in this dataset ... 0.92 eV per formula unit
Calculated formation energy ... 3.678 kcal/mol of atoms
VASP energy ... -4.486 eV per atom
Magnetic moment ... 0.0 μB/f.u.

***

Record 4
Below is a relaxed LiAcIn2Au4 crystal, with properties calculated at the PBE level.

Geometry as POSCAR:
```
LiAcIn2Au4
1.0
2.3843 1.3766 9.0011
-2.3843 1.3766 9.0011
0.0000 -2.7532 9.0011
Li Ac In Au
1 1 2 4
direct
0.0000 0.0000 0.0000
0.5000 0.5000 0.5000
0.2614 0.2614 0.2614
0.7386 0.7386 0.7386
0.1020 0.1020 0.1020
0.3674 0.3674 0.3674
0.6326 0.6326 0.6326
0.8980 0.8980 0.8980
```

Computed properties:
Symmetry ... No. 166
Calculated formation energy ... -12.661 kcal/mol of atoms
VASP energy ... -3.625 eV per atom
Magnetic moment ... 0.0 μB/f.u.